Record 1
A relaxed structure of MgPa2MnN5, computed with PBE.

The calculation puts the raw formation energy at -928 meV per atom. Its total energy is -8.8594 eV/atom. The calculation puts the total magnetic moment at 11.08 μB per cell.

The space group is I4/mcm (No. 140) and the conventional cell measures 6.574, 6.574 and 10.899 Å, with angles of 90.00, 90.00 and 90.00 degrees. Symmetry generates all atoms from Mg at (0.000, 0.000, 0.250), Pa at (0.177, 0.323, 0.000), Mn at (0.000, 0.500, 0.250), N at (0.000, 0.000, 0.000) and N at (0.143, 0.357, 0.364).

Record 2
A relaxed structure of NiPtRh2, computed with PBE.

The value obtained for the formation energy is -0.01 eV/atom. Its total energy is -6.6409 eV/atom. The calculation puts the total magnetic moment at 2.05 μB per cell.

The space group is I4/mmm (No. 139) and the conventional cell measures 3.814, 3.814 and 7.627 Å, with angles of 90.00, 90.00 and 90.00 degrees. Symmetry generates all atoms from Ni at (0.000, 0.000, 0.000), Pt at (0.000, 0.000, 0.500) and Rh at (0.000, 0.500, 0.250).

Record 3
A relaxed structure of CdAs, computed with PBE.

The value obtained for the formation energy is 0.07 eV/atom. As for the energy relative to the lowest polymorph listed for this composition: 150 meV per atom. Its total energy is -2.7137 eV/atom. The calculation puts the total magnetic moment at 0.00 μB per cell.

The space group is P4/nmm (No. 129, origin choice 2) and the conventional cell measures 3.538, 3.538 and 7.864 Å, with angles of 90.00, 90.00 and 90.00 degrees. Symmetry generates all atoms from Cd at (0.250, 0.250, 0.102) and As at (0.250, 0.250, 0.447).